(1)
## TlCdBr2 (PBE)

Data for a relaxed structure of TlCdBr2.

ΔE_f (raw)	-57	kJ per mole of atoms
space group	Cm (8)
energy relative to the lowest polymorph listed for this composition	0.0	kJ/mol of formula units

a b c (Å): 7.5842 7.5842 4.2716
angles (deg): 83.27 83.27 33.04
Fractional coordinates of all 4 atoms:
1 Br 0.2933 0.2933 0.4054
2 Br 0.0096 0.0096 0.8080
3 Cd 0.4908 0.4908 0.3291
4 Tl 0.7062 0.7062 0.9576



(2)
## TlCdBr2 (PBE)

Data for a relaxed structure of TlCdBr2.

ΔE_f (raw)	-51	kJ per mole of atoms
space group	R-3m (166)
energy relative to the lowest polymorph listed for this composition	22.5	kJ/mol of formula units

a b c (Å): 7.4224 7.4224 7.4224
angles (deg): 37.39 37.39 37.39
Fractional coordinates of all 4 atoms:
1 Tl 0.7500 0.7500 0.7500
2 Cd 0.2500 0.2500 0.2500
3 Br 0.5101 0.5101 0.5101
4 Br 0.9899 0.9899 0.9899



(3)
## TlCdBr (PBE)

Data for a relaxed structure of TlCdBr.

ΔE_f (raw)	-34	kJ per mole of atoms
space group	Fmm2 (42)
energy relative to the lowest polymorph listed for this composition	4.4	kJ/mol of formula units

a b c (Å): 6.6967 6.6992 3.9187
angles (deg): 72.96 73.03 34.02
Fractional coordinates of all 3 atoms:
1 Cd 0.3402 0.3402 0.6598
2 Br 0.9974 0.9974 0.0026
3 Tl 0.6624 0.6624 0.3376



(4)
## Tl2Cd2Br (PBE)

Data for a relaxed structure of Tl2Cd2Br.

ΔE_f (raw)	-15	kJ per mole of atoms
space group	P4/mbm (127)
energy relative to the lowest polymorph listed for this composition	6.1	kJ/mol of formula units

a b c (Å): 8.8708 8.8708 3.9683
angles (deg): 90.00 90.00 90.00
Fractional coordinates of all 10 atoms:
1 Cd 0.3793 0.1207 0.5000
2 Cd 0.6207 0.8793 0.5000
3 Cd 0.1207 0.6207 0.5000
4 Cd 0.8793 0.3793 0.5000
5 Tl 0.1852 0.3148 0.0000
6 Tl 0.3148 0.8148 0.0000
7 Tl 0.6852 0.1852 0.0000
8 Tl 0.8148 0.6852 0.0000
9 Br 0.0000 0.0000 0.0000
10 Br 0.5000 0.5000 0.0000



(5)
## Tl2Cd2Br (PBE)

Data for a relaxed structure of Tl2Cd2Br.

ΔE_f (raw)	-14	kJ per mole of atoms
space group	P4/mbm (127)
energy relative to the lowest polymorph listed for this composition	12.9	kJ/mol of formula units

a b c (Å): 8.6260 8.6260 4.0412
angles (deg): 90.00 90.00 90.00
Fractional coordinates of all 10 atoms:
1 Tl 0.1785 0.6785 0.5000
2 Tl 0.8215 0.3215 0.5000
3 Tl 0.3215 0.1785 0.5000
4 Tl 0.6785 0.8215 0.5000
5 Cd 0.8751 0.6249 0.0000
6 Cd 0.1249 0.3751 0.0000
7 Cd 0.3751 0.8751 0.0000
8 Cd 0.6249 0.1249 0.0000
9 Br 0.5000 0.5000 0.0000
10 Br 0.0000 0.0000 0.0000



(6)
## TlCdBr2 (PBE)

Data for a relaxed structure of TlCdBr2.

ΔE_f (raw)	-45	kJ per mole of atoms
space group	Fm-3m (225)
energy relative to the lowest polymorph listed for this composition	46.8	kJ/mol of formula units

a b c (Å): 5.5360 5.5360 5.5360
angles (deg): 60.00 60.00 60.00
Fractional coordinates of all 4 atoms:
1 Br 0.7500 0.7500 0.7500
2 Br 0.2500 0.2500 0.2500
3 Tl 0.5000 0.5000 0.5000
4 Cd 0.0000 0.0000 0.0000



Please write out number 2 again, unchanged.
## TlCdBr2 (PBE)

Data for a relaxed structure of TlCdBr2.

ΔE_f (raw)	-51	kJ per mole of atoms
space group	R-3m (166)
energy relative to the lowest polymorph listed for this composition	22.5	kJ/mol of formula units

a b c (Å): 7.4224 7.4224 7.4224
angles (deg): 37.39 37.39 37.39
Fractional coordinates of all 4 atoms:
1 Tl 0.7500 0.7500 0.7500
2 Cd 0.2500 0.2500 0.2500
3 Br 0.5101 0.5101 0.5101
4 Br 0.9899 0.9899 0.9899